#i
Na2UBr6: optimized geometry, PBE.

```
27
Lattice="-4.9604 3.0029 -11.1079 -12.3017 2.1644 -0.9968 1.0341 6.3905 1.2808" Properties=species:S:1:pos:R:3 pbc="T T T"
Na -7.4347 2.7203 -7.7001
Na -3.1112 7.1166 0.9443
Na -8.1563 1.4383 -0.6603
Na -3.2886 1.9943 -7.3647
Na -9.8274 2.4470 -4.4045
Na -0.6377 7.3992 -2.4624
Br -15.1857 6.1537 -10.5153
Br -6.7878 4.6803 -9.8390
Br -10.9960 5.4681 -9.9844
Br -1.0423 5.4042 -0.3086
Br -5.2281 3.8404 -5.9591
Br -11.8036 4.1074 -2.9306
Br -2.9088 6.3551 -4.0391
Br -3.6369 2.8898 -2.4010
Br -6.8043 7.0302 -4.3572
Br -8.6506 7.9858 -8.1003
Br -9.4237 4.5277 -6.4666
Br -9.4402 6.8776 -0.9848
Br -4.4243 7.4505 -7.8933
Br -5.2319 6.0897 -0.8395
Br -7.5773 3.5721 -2.7236
Br -10.9998 7.7175 -4.8647
Br -13.3191 5.2028 -6.7847
Br -12.5910 8.6680 -8.4229
U -5.2303 4.9440 -3.3875
U 0.0000 0.0000 0.0000
U -10.9976 6.6139 -7.4364
```

Results
crystal system	monoclinic
space group	No. 12

#ii
Na2UBr6: optimized geometry, PBE.

```
18
Lattice="-0.3895 4.5080 5.2442 -2.4916 -4.9913 4.1055 12.0812 -3.1005 3.5625" Properties=species:S:1:pos:R:3 pbc="T T T"
Na 0.5538 -0.7535 5.2630
Na 4.0462 -1.0384 1.1931
Na 8.6463 -2.8303 7.6493
Na 8.0350 -2.0621 2.3693
Br 3.7758 -1.9302 9.1312
Br 2.2985 -3.1527 5.6765
Br 1.3329 -0.5798 2.3758
Br 3.1158 0.5406 6.1193
Br 9.6282 -2.7086 4.8219
Br -1.8901 -2.2734 4.4313
Br 6.0844 -4.1244 6.7929
Br 5.4244 -1.6536 3.7810
Br 7.8673 -3.0040 10.5364
Br -0.4280 -0.8751 8.0903
Br 6.9017 -0.4310 7.2357
Br -0.9909 1.7901 4.9184
U 4.6001 -1.7919 6.4561
U 0.0000 0.0000 0.0000
```

Results
crystal system	tetragonal
space group	No. 136

#ii is favored, and the nearest alternative lies 0.007 eV/atom above it.

#i
NbBr5: optimized geometry, PBE.

```
12
Lattice="1.1029 4.3006 -6.5037 -7.3332 -1.6368 2.3568 -0.0806 7.1325 4.7028" Properties=species:S:1:pos:R:3 pbc="T T T"
Br -0.2544 8.7373 -1.6146
Br -1.7608 5.5760 -1.3820
Br -1.7273 2.6125 -3.3360
Br -4.5502 4.2203 1.9379
Br -0.8431 6.4355 1.8663
Br -4.5837 7.1838 3.8919
Br -6.0566 1.0590 2.1705
Br -4.1796 7.8620 -0.3545
Br -2.1314 1.9342 0.9103
Br -5.4679 3.3607 -1.3104
Nb -1.7654 7.6738 -0.0276
Nb -4.5456 2.1224 0.5835
```

Results
crystal system	orthorhombic
space group	No. 63

#ii
NbBr5: optimized geometry, PBE.

```
12
Lattice="-3.1886 6.7893 -1.8346 -0.7799 -2.5441 -8.0593 -6.1272 -2.5038 1.3833" Properties=species:S:1:pos:R:3 pbc="T T T"
Br -4.6507 4.3468 -0.9221
Br -1.5358 -1.7403 -3.7709
Br -6.5756 1.3591 0.2073
Br -5.7033 -4.0984 -5.2544
Br -6.6493 2.0613 -4.4761
Br -5.1954 -1.0346 -3.6396
Br -2.8673 2.2193 -3.0543
Br -5.2441 -2.6005 -0.5094
Br -3.1881 1.1731 -6.3685
Br -2.9161 0.6534 0.0759
Nb -2.6588 2.9597 -0.6770
Nb -5.4527 -3.3409 -2.8866
```

Results
crystal system	orthorhombic
space group	No. 59

#i is favored, and the nearest alternative lies 0.007 eV/atom above it.

#i
PrNdBr6: optimized geometry, PBE.

```
8
Lattice="7.8303 0.0000 0.0000 -3.9152 6.7813 0.0000 0.0000 0.0000 4.5076" Properties=species:S:1:pos:R:3 pbc="T T T"
Br -0.8268 1.9155 2.2538
Br 4.7542 0.3330 0.0000
Br 1.8265 2.4975 0.0000
Br 5.1648 3.9507 0.0000
Br -1.8429 6.5395 2.2538
Br 2.6697 5.1075 2.2538
Pr 3.9152 2.2604 2.2538
Nd 0.0000 0.0000 0.0000
```

Results
crystal system	hexagonal
space group	No. 174

#ii
PrNdBr6: optimized geometry, PBE.

```
8
Lattice="-8.2784 -1.7368 -3.6471 -2.3940 5.7794 2.6818 -0.9200 6.6565 -1.0817" Properties=species:S:1:pos:R:3 pbc="T T T"
Br -5.4317 10.0800 0.2217
Br -7.2415 0.3999 -2.7431
Br -2.0056 1.4984 -0.4363
Br -8.5098 9.4342 -1.1344
Br -1.3778 5.1703 0.6653
Br -6.0695 6.3752 -0.8915
Pr -4.9464 2.1606 -1.4338
Nd -2.5089 9.4147 1.2114
```

Results
crystal system	orthorhombic
space group	No. 38

#ii is favored, and the nearest alternative lies 0.007 eV/atom above it.

#i
ZnBr2O6: optimized geometry, PBE.

```
9
Lattice="0.5964 2.2878 6.2768 -6.3716 -1.0088 -1.8364 0.2497 -3.3184 1.1340" Properties=species:S:1:pos:R:3 pbc="T T T"
O -3.6765 -2.1018 4.0116
O -4.0991 0.1513 1.8656
O -1.4264 -2.1907 3.7087
O -1.8491 0.0624 1.5627
O -2.6606 0.8318 3.5405
O -2.8649 -2.8713 2.0338
Br -0.3758 0.1096 5.5664
Br -5.1498 -2.1490 0.0079
Zn 0.0000 0.0000 0.0000
```

Results
crystal system	monoclinic
space group	No. 12

#ii
ZnBr2O6: optimized geometry, PBE.

```
9
Lattice="5.1050 0.0000 0.0000 -2.5525 4.4210 0.0000 0.0000 0.0000 4.4935" Properties=species:S:1:pos:R:3 pbc="T T T"
O 1.7850 0.0000 1.1286
O 0.8925 1.5458 3.3649
O 3.3200 0.0000 3.3649
O -0.8925 1.5458 1.1286
O -1.6600 2.8752 3.3649
O 1.6600 2.8752 1.1286
Br 2.5525 1.4737 2.2468
Br 0.0000 2.9474 2.2468
Zn 0.0000 0.0000 0.0000
```

Results
crystal system	trigonal
space group	No. 162

#i is favored, and the nearest alternative lies 0.122 eV/atom above it.